# LaGdYAl

A relaxed LaGdYAl crystal (PBE, the Alexandria database). Values from VASP.

Cell and atoms, written as Quantum ESPRESSO input:
```
&SYSTEM
  ibrav = 0, nat = 4, ntyp = 4
/
ATOMIC_SPECIES
La 138.91 La.upf
Gd 157.25 Gd.upf
Y 88.91 Y.upf
Al 26.98 Al.upf
CELL_PARAMETERS angstrom
0.000 3.861 3.861
3.861 0.000 3.861
3.861 3.861 0.000
ATOMIC_POSITIONS crystal
La 0.000 0.000 0.000
Gd 0.750 0.750 0.750
Y 0.500 0.500 0.500
Al 0.250 0.250 0.250
```

## Properties
N(E_F)   6.2 states/eV per cell
E_form   -0.0862 eV per atom
Spin magnetization   8.3 μB/f.u.
SG   F-43m, No. 216
Crystal system   cubic